1.
! GeP (PBE, relaxed); values from VASP
&SYSTEM
  ibrav = 0, nat = 4, ntyp = 2
/
ATOMIC_SPECIES
Ge 72.64 Ge.upf
P 30.97 P.upf
CELL_PARAMETERS angstrom
4.326 0.000 0.000
-2.163 3.746 0.000
0.000 0.000 5.086
ATOMIC_POSITIONS crystal
Ge 0.333 0.667 0.250
Ge 0.667 0.333 0.750
P 0.333 0.667 0.750
P 0.667 0.333 0.250
! E: -4.920 eV/atom

2.
! AcDyTh (PBE, relaxed); values from VASP
&SYSTEM
  ibrav = 0, nat = 6, ntyp = 3
/
ATOMIC_SPECIES
Th 232.04 Th.upf
Dy 162.50 Dy.upf
Ac 227.00 Ac.upf
CELL_PARAMETERS angstrom
5.106 0.000 0.000
0.000 5.106 0.000
0.000 0.000 8.815
ATOMIC_POSITIONS crystal
Th 0.000 0.000 0.000
Th 0.500 0.500 0.000
Dy 0.000 0.500 0.742
Dy 0.500 0.000 0.258
Ac 0.000 0.500 0.315
Ac 0.500 0.000 0.685
! E: -5.165 eV/atom

3.
! NaHOs3 (PBE, relaxed); values from VASP
&SYSTEM
  ibrav = 0, nat = 5, ntyp = 3
/
ATOMIC_SPECIES
Na 22.99 Na.upf
Os 190.23 Os.upf
H 1.01 H.upf
CELL_PARAMETERS angstrom
4.545 0.000 0.000
0.000 4.545 0.000
0.000 0.000 4.545
ATOMIC_POSITIONS crystal
Na 0.000 0.000 0.000
Os 0.000 0.500 0.000
Os 0.000 0.000 0.500
Os 0.500 0.000 0.000
H 0.500 0.500 0.500
! E: -3.781 eV/atom

4.
! GaCoSi (PBE, relaxed); values from VASP
&SYSTEM
  ibrav = 0, nat = 3, ntyp = 3
/
ATOMIC_SPECIES
Si 28.09 Si.upf
Co 58.93 Co.upf
Ga 69.72 Ga.upf
CELL_PARAMETERS angstrom
3.906 0.000 0.000
1.953 3.383 0.000
1.953 1.128 3.189
ATOMIC_POSITIONS crystal
Si 0.000 0.000 0.000
Co 0.250 0.250 0.250
Ga 0.500 0.500 0.500
! Formation energy (no corrections): -0.2622 eV/atom

5.
! Ba2ZnW (PBE, relaxed); values from VASP
&SYSTEM
  ibrav = 0, nat = 8, ntyp = 3
/
ATOMIC_SPECIES
Zn 65.41 Zn.upf
Ba 137.33 Ba.upf
W 183.84 W.upf
CELL_PARAMETERS angstrom
4.565 0.000 0.000
0.000 4.565 0.000
2.283 2.283 11.160
ATOMIC_POSITIONS crystal
Zn 0.500 0.500 0.000
Zn 0.250 0.750 0.500
Ba 0.628 0.125 0.250
Ba 0.122 0.625 0.250
Ba 0.375 0.372 0.750
Ba 0.875 0.878 0.750
W 0.000 0.000 0.000
W 0.750 0.250 0.500
! E: -3.042 eV/atom

6.
! AcUBeO5 (PBE, relaxed); values from VASP
&SYSTEM
  ibrav = 0, nat = 16, ntyp = 4
/
ATOMIC_SPECIES
Ac 227.00 Ac.upf
U 238.03 U.upf
Be 9.01 Be.upf
O 16.00 O.upf
CELL_PARAMETERS angstrom
-5.621 -1.073 1.062
3.091 -4.328 2.363
1.443 5.794 4.834
ATOMIC_POSITIONS crystal
Ac 0.350 0.650 0.250
Ac 0.650 0.350 0.750
U 0.000 0.000 0.500
U 0.000 0.000 0.000
Be 0.687 0.313 0.250
Be 0.313 0.687 0.750
O 0.091 0.909 0.250
O 0.909 0.091 0.750
O 0.895 0.308 0.123
O 0.105 0.692 0.877
O 0.692 0.105 0.377
O 0.308 0.895 0.623
O 0.748 0.604 0.402
O 0.252 0.396 0.598
O 0.396 0.252 0.098
O 0.604 0.748 0.902
! Formation energy (no corrections): -3.1088 eV/atom

7.
! Sr2ScP2 (PBE, relaxed); values from VASP
&SYSTEM
  ibrav = 0, nat = 10, ntyp = 3
/
ATOMIC_SPECIES
Sr 87.62 Sr.upf
Sc 44.96 Sc.upf
P 30.97 P.upf
CELL_PARAMETERS angstrom
5.817 0.000 -2.501
-1.375 6.331 -3.197
-0.127 -0.251 7.719
ATOMIC_POSITIONS crystal
Sr 0.851 0.700 0.702
Sr 0.149 0.300 0.298
Sr 0.649 0.998 0.298
Sr 0.351 0.002 0.702
Sc 0.750 0.500 0.000
Sc 0.250 0.500 0.000
P 0.395 0.624 0.790
P 0.605 0.376 0.210
P 0.105 0.834 0.210
P 0.895 0.166 0.790
! E: -5.157 eV/atom

8.
! ErTi2Ga4 (PBE, relaxed); values from VASP
&SYSTEM
  ibrav = 0, nat = 7, ntyp = 3
/
ATOMIC_SPECIES
Er 167.26 Er.upf
Ti 47.87 Ti.upf
Ga 69.72 Ga.upf
CELL_PARAMETERS angstrom
-2.786 4.639 -0.932
-0.353 -4.221 -3.494
-2.132 -1.937 4.675
ATOMIC_POSITIONS crystal
Er 0.000 0.000 0.000
Ti 0.250 0.750 0.500
Ti 0.750 0.250 0.500
Ga 0.302 0.302 0.605
Ga 0.698 0.698 0.395
Ga 0.698 0.302 0.000
Ga 0.302 0.698 0.000
! E: -5.170 eV/atom

9.
! BaSb2TeI (PBE, relaxed); values from VASP
&SYSTEM
  ibrav = 0, nat = 5, ntyp = 4
/
ATOMIC_SPECIES
I 126.90 I.upf
Sb 121.76 Sb.upf
Te 127.60 Te.upf
Ba 137.33 Ba.upf
CELL_PARAMETERS angstrom
-3.592 4.853 2.640
-3.903 0.000 -5.310
-3.776 -4.304 2.775
ATOMIC_POSITIONS crystal
I 0.500 0.500 0.500
Sb 0.000 0.500 0.000
Sb 0.500 0.000 0.000
Te 0.000 0.000 0.500
Ba 0.000 0.000 0.000
! Formation energy (no corrections): 0.6787 eV/atom

10.
! KLa2Ta (PBE, relaxed); values from VASP
&SYSTEM
  ibrav = 0, nat = 4, ntyp = 3
/
ATOMIC_SPECIES
K 39.10 K.upf
La 138.91 La.upf
Ta 180.95 Ta.upf
CELL_PARAMETERS angstrom
-3.374 -2.665 8.776
-3.389 -7.654 5.043
5.997 5.625 -5.282
ATOMIC_POSITIONS crystal
K 0.328 0.828 0.500
La 0.004 0.004 0.000
La 0.653 0.153 0.500
Ta 0.515 0.515 0.000
! E: -5.013 eV/atom

11.
! Zn2WBr (PBE, relaxed); values from VASP
&SYSTEM
  ibrav = 0, nat = 4, ntyp = 3
/
ATOMIC_SPECIES
Br 79.90 Br.upf
W 183.84 W.upf
Zn 65.41 Zn.upf
CELL_PARAMETERS angstrom
2.992 0.000 0.000
0.000 2.992 0.000
0.000 0.000 8.235
ATOMIC_POSITIONS crystal
Br 0.000 0.000 0.558
W 0.500 0.500 0.765
Zn 0.000 0.000 0.983
Zn 0.500 0.500 0.195
! Formation energy (no corrections): 0.5292 eV/atom

12.
! CeTiAs2O (PBE, relaxed); values from VASP
&SYSTEM
  ibrav = 0, nat = 10, ntyp = 4
/
ATOMIC_SPECIES
Ce 140.12 Ce.upf
Ti 47.87 Ti.upf
As 74.92 As.upf
O 16.00 O.upf
CELL_PARAMETERS angstrom
3.779 0.000 0.000
0.000 3.779 0.000
0.000 0.000 13.026
ATOMIC_POSITIONS crystal
Ce 0.500 0.000 0.602
Ce 0.000 0.500 0.398
Ti 0.500 0.000 0.090
Ti 0.000 0.500 0.910
As 0.000 0.500 0.717
As 0.000 0.500 0.111
As 0.500 0.000 0.889
As 0.500 0.000 0.283
O 0.000 0.000 0.500
O 0.500 0.500 0.500
! Formation energy (no corrections): -1.6199 eV/atom

13.
! ReTe2S (PBE, relaxed); values from VASP
&SYSTEM
  ibrav = 0, nat = 8, ntyp = 3
/
ATOMIC_SPECIES
Re 186.21 Re.upf
S 32.06 S.upf
Te 127.60 Te.upf
CELL_PARAMETERS angstrom
-5.371 -2.567 3.170
2.959 -6.060 0.105
0.916 -3.199 6.136
ATOMIC_POSITIONS crystal
Re 0.000 0.000 0.000
Re 0.750 0.250 0.500
S 0.500 0.500 0.000
S 0.250 0.750 0.500
Te 0.664 0.125 0.250
Te 0.086 0.625 0.250
Te 0.375 0.336 0.750
Te 0.875 0.914 0.750
! Formation energy (no corrections): 0.6846 eV/atom

14.
! SiMoBr2 (PBE, relaxed); values from VASP
&SYSTEM
  ibrav = 0, nat = 4, ntyp = 3
/
ATOMIC_SPECIES
Br 79.90 Br.upf
Mo 95.94 Mo.upf
Si 28.09 Si.upf
CELL_PARAMETERS angstrom
3.083 0.000 0.000
0.000 3.083 0.000
0.000 0.000 9.510
ATOMIC_POSITIONS crystal
Br 0.000 0.000 0.079
Br 0.000 0.000 0.421
Mo 0.500 0.500 0.250
Si 0.500 0.500 0.750
! Formation energy (no corrections): 0.7269 eV/atom

15.
! TlIn2NiBi (PBE, relaxed); values from VASP
&SYSTEM
  ibrav = 0, nat = 5, ntyp = 4
/
ATOMIC_SPECIES
Ni 58.69 Ni.upf
Tl 204.38 Tl.upf
Bi 208.98 Bi.upf
In 114.82 In.upf
CELL_PARAMETERS angstrom
5.131 0.000 0.000
0.000 5.131 0.000
0.000 0.000 5.054
ATOMIC_POSITIONS crystal
Ni 0.000 0.000 0.000
Tl 0.000 0.000 0.500
Bi 0.500 0.500 0.500
In 0.000 0.500 0.000
In 0.500 0.000 0.000
! E: -3.396 eV/atom

16.
! Ca3Th2NbN6 (PBE, relaxed); values from VASP
&SYSTEM
  ibrav = 0, nat = 12, ntyp = 4
/
ATOMIC_SPECIES
Ca 40.08 Ca.upf
Th 232.04 Th.upf
Nb 92.91 Nb.upf
N 14.01 N.upf
CELL_PARAMETERS angstrom
6.096 -0.008 0.005
-3.054 5.276 0.005
-1.010 -1.749 5.694
ATOMIC_POSITIONS crystal
Ca 0.159 0.841 0.500
Ca 0.841 0.159 0.500
Ca 0.500 0.500 0.500
Th 0.333 0.667 0.000
Th 0.667 0.333 0.000
Nb 0.000 0.000 0.000
N 0.926 0.621 0.781
N 0.765 0.765 0.217
N 0.074 0.379 0.219
N 0.621 0.926 0.781
N 0.235 0.235 0.783
N 0.379 0.074 0.219
! Formation energy (no corrections): -1.2753 eV/atom

17.
! Ba2GePd (PBE, relaxed); values from VASP
&SYSTEM
  ibrav = 0, nat = 4, ntyp = 3
/
ATOMIC_SPECIES
Ge 72.64 Ge.upf
Ba 137.33 Ba.upf
Pd 106.42 Pd.upf
CELL_PARAMETERS angstrom
-3.366 -0.597 -1.861
1.881 -1.995 -2.763
-1.141 -7.068 4.328
ATOMIC_POSITIONS crystal
Ge 0.500 0.500 0.000
Ba 0.000 0.000 0.738
Ba 0.000 0.000 0.262
Pd 0.500 0.500 0.500
! E: -3.802 eV/atom

18.
! Th8As4P3Se (PBE, relaxed); values from VASP
&SYSTEM
  ibrav = 0, nat = 16, ntyp = 4
/
ATOMIC_SPECIES
Th 232.04 Th.upf
As 74.92 As.upf
P 30.97 P.upf
Se 78.96 Se.upf
CELL_PARAMETERS angstrom
-7.091 -3.413 2.972
-2.861 -0.897 -7.859
7.456 -3.244 2.159
ATOMIC_POSITIONS crystal
Th 0.252 0.742 0.990
Th 0.252 0.742 0.504
Th 0.254 0.263 0.509
Th 0.739 0.742 0.990
Th 0.261 0.258 0.010
Th 0.746 0.737 0.491
Th 0.748 0.258 0.496
Th 0.748 0.258 0.010
As 0.500 0.000 0.000
As 0.500 0.000 0.500
As 0.000 0.000 0.000
As 0.000 0.000 0.500
P 0.500 0.500 0.000
P 0.500 0.500 0.500
P 0.000 0.500 0.500
Se 0.000 0.500 0.000
! Formation energy (no corrections): -1.4845 eV/atom

19.
! Na2PdO2 (PBE, relaxed); values from VASP
&SYSTEM
  ibrav = 0, nat = 10, ntyp = 3
/
ATOMIC_SPECIES
Na 22.99 Na.upf
O 16.00 O.upf
Pd 106.42 Pd.upf
CELL_PARAMETERS angstrom
-5.267 -1.044 2.291
2.469 -1.095 5.176
-0.302 3.435 0.871
ATOMIC_POSITIONS crystal
Na 0.142 0.642 0.500
Na 0.642 0.858 0.500
Na 0.858 0.358 0.500
Na 0.358 0.142 0.500
O 0.324 0.824 0.000
O 0.824 0.676 0.000
O 0.676 0.176 0.000
O 0.176 0.324 0.000
Pd 0.000 0.000 0.000
Pd 0.500 0.500 0.000
! Formation energy (no corrections): -0.8581 eV/atom

20.
! HfMn2Nb (PBE, relaxed); values from VASP
&SYSTEM
  ibrav = 0, nat = 16, ntyp = 3
/
ATOMIC_SPECIES
Hf 178.49 Hf.upf
Mn 54.94 Mn.upf
Nb 92.91 Nb.upf
CELL_PARAMETERS angstrom
5.330 0.000 0.000
0.000 5.258 0.000
0.000 0.000 10.042
ATOMIC_POSITIONS crystal
Hf 0.000 0.250 0.577
Hf 0.500 0.750 0.194
Hf 0.000 0.750 0.423
Hf 0.500 0.250 0.806
Mn 0.000 0.000 0.000
Mn 0.500 0.500 0.500
Mn 0.310 0.750 0.937
Mn 0.690 0.250 0.063
Mn 0.690 0.750 0.937
Mn 0.310 0.250 0.063
Mn 0.000 0.500 0.000
Mn 0.500 0.000 0.500
Nb 0.500 0.750 0.693
Nb 0.500 0.250 0.307
Nb 0.000 0.250 0.271
Nb 0.000 0.750 0.729
! E: -9.053 eV/atom